The following is a DFT calculation (GGA+U) of a geometry-optimized RbMnP2O structure.

As for the energy above the most stable polymorph in this dataset: 2.391 eV per atom. Its symmetry is P4/mmm. As for the calculated volume: 113.91 Å³ per cell. The density of states at the Fermi level is 1.255 states/eV/atom.

a = 5.209 Å, b = 5.209 Å, c = 4.198 Å
α = 90.00°, β = 90.00°, γ = 90.00°
Each line ends with the local moment (μB).
Fractional positions:
P 0.000 0.500 0.000  -0.05
P 0.500 0.000 0.000  -0.05
Mn 0.500 0.500 0.500  -0.01
O 0.000 0.000 0.500  -0.12
Rb 0.000 0.000 0.000  0.01


The following is a DFT calculation (GGA+U) of a geometry-optimized RbMnP2O8 structure.

For the total DFT energy (no corrections), the calculation gives -6.7460 eV per atom. Its symmetry is P-3. As for the calculated volume: 178.61 Å³ per cell. The density of states at the Fermi level is 0.855 states/eV/atom.

a = 4.900 Å, b = 4.900 Å, c = 8.589 Å
α = 90.00°, β = 90.00°, γ = 120.00°
Each line ends with the local moment (μB).
Fractional positions:
Rb 0.000 0.000 0.000  0.00
Mn 0.000 0.000 0.500  3.10
P 0.667 0.333 0.310  0.00
P 0.333 0.667 0.690  0.00
O 0.333 0.667 0.867  0.19
O 0.342 0.279 0.368  0.07
O 0.721 0.063 0.368  0.07
O 0.667 0.333 0.133  0.19
O 0.279 0.937 0.632  0.07
O 0.658 0.721 0.632  0.07
O 0.063 0.342 0.632  0.07
O 0.937 0.658 0.368  0.07


The following is a DFT calculation (GGA+U) of a geometry-optimized RbMnP2O structure.

As for the energy above the most stable polymorph in this dataset: 0.000 eV per atom. Its symmetry is P4/mmm. As for the calculated volume: 93.00 Å³ per cell. The density of states at the Fermi level is 0.568 states/eV/atom.

a = 4.797 Å, b = 4.797 Å, c = 4.041 Å
α = 90.00°, β = 90.00°, γ = 90.00°
Each line ends with the local moment (μB).
Fractional positions:
P 0.000 0.500 0.000  0.37
P 0.500 0.000 0.000  0.37
Mn 0.000 0.000 0.000  -3.79
O 0.000 0.000 0.500  0.31
Rb 0.500 0.500 0.500  0.03


The following is a DFT calculation (GGA+U) of a geometry-optimized RbMnPO4 structure.

As for the energy above the most stable polymorph in this dataset: 0.057 eV per atom. Its symmetry is P2_1/m. As for the calculated volume: 218.94 Å³ per cell. The density of states at the Fermi level is 0.000 states/eV/atom.

a = 5.370 Å, b = 5.750 Å, c = 7.440 Å
α = 90.00°, β = 107.63°, γ = 90.00°
Each line ends with the local moment (μB).
Fractional positions:
Rb 0.698 0.750 0.935  0.00
Rb 0.302 0.250 0.065  0.00
Mn 0.798 0.750 0.473  4.66
Mn 0.202 0.250 0.527  4.66
P 0.245 0.750 0.349  0.01
P 0.755 0.250 0.651  0.01
O 0.946 0.464 0.677  0.03
O 0.054 0.964 0.323  0.03
O 0.054 0.536 0.323  0.03
O 0.946 0.036 0.677  0.03
O 0.404 0.750 0.207  0.02
O 0.596 0.250 0.793  0.02
O 0.439 0.750 0.550  0.03
O 0.561 0.250 0.450  0.03


The following is a DFT calculation (GGA+U) of a geometry-optimized RbMnPO4 structure.

As for the energy above the most stable polymorph in this dataset: 0.000 eV per atom. Its symmetry is P2_1. As for the calculated volume: 470.79 Å³ per cell. The density of states at the Fermi level is 0.000 states/eV/atom.

a = 5.516 Å, b = 9.109 Å, c = 9.372 Å
α = 90.55°, β = 90.00°, γ = 90.00°
Each line ends with the local moment (μB).
Fractional positions:
Rb 0.877 0.993 0.800  0.00
Rb 0.377 0.007 0.200  0.00
Rb 0.408 0.513 0.311  0.00
Rb 0.908 0.487 0.689  0.00
Mn 0.413 0.674 0.910  4.62
Mn 0.357 0.161 0.566  4.63
Mn 0.913 0.326 0.090  4.62
Mn 0.857 0.839 0.434  4.63
P 0.400 0.794 0.578  0.01
P 0.900 0.206 0.422  0.01
P 0.411 0.299 0.898  0.02
P 0.911 0.701 0.102  0.02
O 0.185 0.734 0.076  0.02
O 0.685 0.266 0.924  0.02
O 0.811 0.809 0.217  0.02
O 0.311 0.191 0.783  0.02
O 0.676 0.264 0.504  0.03
O 0.176 0.736 0.496  0.03
O 0.622 0.692 0.548  0.03
O 0.122 0.308 0.452  0.03
O 0.379 0.459 0.845  0.03
O 0.879 0.541 0.155  0.03
O 0.842 0.191 0.261  0.03
O 0.342 0.809 0.739  0.03
O 0.769 0.724 0.959  0.03
O 0.269 0.276 0.041  0.03
O 0.986 0.053 0.482  0.04
O 0.486 0.947 0.518  0.04


The following is a DFT calculation (GGA+U) of a geometry-optimized RbMnPO2 structure.

As for the energy above the most stable polymorph in this dataset: 1.347 eV per atom. Its symmetry is P4/mmm. As for the calculated volume: 117.98 Å³ per cell. The density of states at the Fermi level is 0.502 states/eV/atom.

a = 4.261 Å, b = 4.261 Å, c = 6.499 Å
α = 90.00°, β = 90.00°, γ = 90.00°
Each line ends with the local moment (μB).
Fractional positions:
P 0.000 0.000 0.500  -0.59
Mn 0.500 0.500 0.500  4.68
O 0.000 0.500 0.000  0.33
O 0.500 0.000 0.000  0.33
Rb 0.000 0.000 0.000  0.03


The following is a DFT calculation (GGA+U) of a geometry-optimized MnRePO2 structure.

As for the energy above the most stable polymorph in this dataset: 0.000 eV per atom. Its symmetry is P4/mmm. As for the calculated volume: 75.58 Å³ per cell. The density of states at the Fermi level is 0.189 states/eV/atom.

a = 3.771 Å, b = 3.771 Å, c = 5.315 Å
α = 90.00°, β = 90.00°, γ = 90.00°
Each line ends with the local moment (μB).
Fractional positions:
Re 0.000 0.000 0.000  -0.10
Mn 0.500 0.500 0.500  4.52
O 0.000 0.500 0.000  0.02
O 0.500 0.000 0.000  0.02
P 0.000 0.000 0.500  -0.11


The following is a DFT calculation (GGA+U) of a geometry-optimized MnRePO2 structure.

As for the energy above the most stable polymorph in this dataset: 0.961 eV per atom. Its symmetry is P4/mmm. As for the calculated volume: 71.43 Å³ per cell. The density of states at the Fermi level is 0.870 states/eV/atom.

a = 3.638 Å, b = 3.638 Å, c = 5.396 Å
α = 90.00°, β = 90.00°, γ = 90.00°
Each line ends with the local moment (μB).
Fractional positions:
Re 0.500 0.500 0.500  2.77
Mn 0.000 0.000 0.000  3.42
O 0.000 0.500 0.000  0.09
O 0.500 0.000 0.000  0.09
P 0.000 0.000 0.500  -0.14


The following is a DFT calculation (GGA+U) of a geometry-optimized MnReP2O structure.

As for the energy above the most stable polymorph in this dataset: 0.000 eV per atom. Its symmetry is P4/mmm. As for the calculated volume: 85.96 Å³ per cell. The density of states at the Fermi level is 0.379 states/eV/atom.

a = 4.802 Å, b = 4.802 Å, c = 3.728 Å
α = 90.00°, β = 90.00°, γ = 90.00°
Each line ends with the local moment (μB).
Fractional positions:
Re 0.000 0.000 0.000  0.08
Mn 0.500 0.500 0.500  4.63
O 0.000 0.000 0.500  0.01
P 0.000 0.500 0.000  -0.08
P 0.500 0.000 0.000  -0.08


The following is a DFT calculation (GGA+U) of a geometry-optimized MnReP2O structure.

As for the energy above the most stable polymorph in this dataset: 0.777 eV per atom. Its symmetry is P4/mmm. As for the calculated volume: 74.67 Å³ per cell. The density of states at the Fermi level is 0.829 states/eV/atom.

a = 4.661 Å, b = 4.661 Å, c = 3.438 Å
α = 90.00°, β = 90.00°, γ = 90.00°
Each line ends with the local moment (μB).
Fractional positions:
Re 0.500 0.500 0.500  1.44
Mn 0.000 0.000 0.000  3.20
O 0.000 0.000 0.500  -0.06
P 0.000 0.500 0.000  -0.20
P 0.500 0.000 0.000  -0.20


The following is a DFT calculation (GGA+U) of a geometry-optimized MnPRuO2 structure.

As for the energy above the most stable polymorph in this dataset: 0.416 eV per atom. Its symmetry is P4/mmm. As for the calculated volume: 72.84 Å³ per cell. The density of states at the Fermi level is 0.596 states/eV/atom.

a = 3.561 Å, b = 3.561 Å, c = 5.744 Å
α = 90.00°, β = 90.00°, γ = 90.00°
Each line ends with the local moment (μB).
Fractional positions:
Ru 0.500 0.500 0.500  0.41
Mn 0.000 0.000 0.000  3.43
O 0.000 0.500 0.000  -0.23
O 0.500 0.000 0.000  -0.23
P 0.000 0.000 0.500  -0.07


The following is a DFT calculation (GGA+U) of a geometry-optimized MnPRuO2 structure.

As for the energy above the most stable polymorph in this dataset: 0.000 eV per atom. Its symmetry is P4/mmm. As for the calculated volume: 73.98 Å³ per cell. The density of states at the Fermi level is 0.700 states/eV/atom.

a = 3.758 Å, b = 3.758 Å, c = 5.238 Å
α = 90.00°, β = 90.00°, γ = 90.00°
Each line ends with the local moment (μB).
Fractional positions:
Ru 0.000 0.000 0.000  -0.31
Mn 0.500 0.500 0.500  4.51
O 0.000 0.500 0.000  -0.04
O 0.500 0.000 0.000  -0.04
P 0.000 0.000 0.500  -0.15


The following is a DFT calculation (GGA+U) of a geometry-optimized MnPS2O structure.

As for the energy above the most stable polymorph in this dataset: 0.000 eV per atom. Its symmetry is P4/mmm. As for the calculated volume: 80.05 Å³ per cell. The density of states at the Fermi level is 0.453 states/eV/atom.

a = 4.657 Å, b = 4.657 Å, c = 3.691 Å
α = 90.00°, β = 90.00°, γ = 90.00°
Each line ends with the local moment (μB).
Fractional positions:
P 0.000 0.000 0.500  -0.23
S 0.000 0.500 0.000  0.00
S 0.500 0.000 0.000  0.00
Mn 0.500 0.500 0.500  4.60
O 0.000 0.000 0.000  -0.14


The following is a DFT calculation (GGA+U) of a geometry-optimized MnPS2O structure.

As for the energy above the most stable polymorph in this dataset: 0.887 eV per atom. Its symmetry is P4/mmm. As for the calculated volume: 82.42 Å³ per cell. The density of states at the Fermi level is 0.993 states/eV/atom.

a = 4.278 Å, b = 4.278 Å, c = 4.504 Å
α = 90.00°, β = 90.00°, γ = 90.00°
Each line ends with the local moment (μB).
Fractional positions:
P 0.000 0.000 0.500  0.13
S 0.000 0.500 0.000  0.00
S 0.500 0.000 0.000  0.00
Mn 0.000 0.000 0.000  -0.11
O 0.500 0.500 0.500  -0.61


The following is a DFT calculation (GGA+U) of a geometry-optimized MnP2SO structure.

As for the energy above the most stable polymorph in this dataset: 0.065 eV per atom. Its symmetry is P4/mmm. As for the calculated volume: 75.98 Å³ per cell. The density of states at the Fermi level is 0.296 states/eV/atom.

a = 4.034 Å, b = 4.034 Å, c = 4.670 Å
α = 90.00°, β = 90.00°, γ = 90.00°
Each line ends with the local moment (μB).
Fractional positions:
P 0.000 0.500 0.000  -0.08
P 0.500 0.000 0.000  -0.08
S 0.000 0.000 0.500  -0.03
Mn 0.500 0.500 0.500  4.54
O 0.000 0.000 0.000  -0.03


The following is a DFT calculation (GGA+U) of a geometry-optimized MnPSO2 structure.

For the total DFT energy (no corrections), the calculation gives -5.3755 eV per atom. Its symmetry is P4/mmm. As for the calculated volume: 62.81 Å³ per cell. The density of states at the Fermi level is 0.229 states/eV/atom.

a = 3.647 Å, b = 3.647 Å, c = 4.723 Å
α = 90.00°, β = 90.00°, γ = 90.00°
Each line ends with the local moment (μB).
Fractional positions:
P 0.000 0.000 0.500  -0.23
S 0.000 0.000 0.000  -0.04
Mn 0.500 0.500 0.500  4.41
O 0.000 0.500 0.000  -0.04
O 0.500 0.000 0.000  -0.04


The following is a DFT calculation (GGA+U) of a geometry-optimized MnPSO2 structure.

For the total DFT energy (no corrections), the calculation gives -5.5442 eV per atom. Its symmetry is P4/mmm. As for the calculated volume: 75.76 Å³ per cell. The density of states at the Fermi level is 0.785 states/eV/atom.

a = 3.590 Å, b = 3.590 Å, c = 5.878 Å
α = 90.00°, β = 90.00°, γ = 90.00°
Each line ends with the local moment (μB).
Fractional positions:
P 0.000 0.000 0.500  -0.21
S 0.500 0.500 0.500  -0.04
Mn 0.000 0.000 0.000  3.37
O 0.000 0.500 0.000  -0.33
O 0.500 0.000 0.000  -0.33


The following is a DFT calculation (GGA+U) of a geometry-optimized MnP2SO structure.

As for the energy above the most stable polymorph in this dataset: 0.196 eV per atom. Its symmetry is P4/mmm. As for the calculated volume: 71.71 Å³ per cell. The density of states at the Fermi level is 0.435 states/eV/atom.

a = 4.569 Å, b = 4.569 Å, c = 3.435 Å
α = 90.00°, β = 90.00°, γ = 90.00°
Each line ends with the local moment (μB).
Fractional positions:
P 0.000 0.500 0.000  -0.03
P 0.500 0.000 0.000  -0.03
S 0.500 0.500 0.500  -0.01
Mn 0.000 0.000 0.000  0.19
O 0.000 0.000 0.500  -0.02


The following is a DFT calculation (GGA+U) of a geometry-optimized MnP2SO structure.

As for the energy above the most stable polymorph in this dataset: 0.000 eV per atom. Its symmetry is P4/mmm. As for the calculated volume: 77.25 Å³ per cell. The density of states at the Fermi level is 0.362 states/eV/atom.

a = 4.771 Å, b = 4.771 Å, c = 3.394 Å
α = 90.00°, β = 90.00°, γ = 90.00°
Each line ends with the local moment (μB).
Fractional positions:
P 0.000 0.500 0.000  -0.11
P 0.500 0.000 0.000  -0.11
S 0.000 0.000 0.000  0.00
Mn 0.500 0.500 0.500  4.51
O 0.000 0.000 0.500  -0.02


The following is a DFT calculation (GGA+U) of a geometry-optimized MnP2SO structure.

As for the energy above the most stable polymorph in this dataset: 0.926 eV per atom. Its symmetry is P4/mmm. As for the calculated volume: 77.97 Å³ per cell. The density of states at the Fermi level is 0.594 states/eV/atom.

a = 4.356 Å, b = 4.356 Å, c = 4.109 Å
α = 90.00°, β = 90.00°, γ = 90.00°
Fractional positions:
P 0.000 0.500 0.000
P 0.500 0.000 0.000
S 0.000 0.000 0.500
Mn 0.000 0.000 0.000
O 0.500 0.500 0.500